Li2LuFe | PBE | relaxed

Cell: 4.5777 4.5777 4.5777 Å, 60.00 60.00 60.00°
Closest atoms and distances in Å follow each position.
Sites, in units of the cell vectors:
Lu 0.5000 0.5000 0.5000  4 Fe 2.80, 4 Li 2.80
Fe 0.2500 0.2500 0.2500  4 Lu 2.80, 4 Li 2.80
Li 0.7500 0.7500 0.7500  4 Li 2.80, 4 Lu 2.80
Li 0.0000 0.0000 0.0000  4 Li 2.80, 4 Fe 2.80

Summary:
space group: No. 216
uncorrected energy: -15.27 eV/f.u.
total magnetization: 0.37 μB per atom



LiLuFe2 | PBE | relaxed

Cell: 4.3568 4.3568 4.3568 Å, 60.00 60.00 60.00°
Closest atoms and distances in Å follow each position.
Sites, in units of the cell vectors:
Lu 0.2500 0.2500 0.2500  4 Fe 2.67, 4 Li 2.67
Fe 0.7500 0.7500 0.7500  4 Li 2.67, 4 Fe 2.67
Fe 0.0000 0.0000 0.0000  4 Lu 2.67, 4 Fe 2.67
Li 0.5000 0.5000 0.5000  4 Fe 2.67, 4 Lu 2.67

Summary:
space group: No. 216
uncorrected energy: -22.29 eV/f.u.
total magnetization: 0.93 μB per atom



LiLuFe | PBE | relaxed

Cell: 4.4906 4.4906 4.4906 Å, 60.00 60.00 60.00°
Closest atoms and distances in Å follow each position.
Sites, in units of the cell vectors:
Fe 0.2500 0.2500 0.2500  4 Lu 2.75
Li 0.7500 0.7500 0.7500  4 Lu 2.75
Lu 0.0000 0.0000 0.0000  4 Li 2.75, 4 Fe 2.75

Summary:
space group: No. 216
uncorrected energy: -11.95 eV/f.u.
total magnetization: 0.61 μB per atom



Li2LuFe | PBE | relaxed

Cell: 4.5827 4.5827 4.5827 Å, 60.00 60.00 60.00°
Closest atoms and distances in Å follow each position.
Sites, in units of the cell vectors:
Li 0.0000 0.0000 0.0000  4 Lu 2.81, 4 Li 2.81
Li 0.7500 0.7500 0.7500  4 Fe 2.81, 4 Li 2.81
Lu 0.2500 0.2500 0.2500  4 Li 2.81, 4 Fe 2.81
Fe 0.5000 0.5000 0.5000  4 Lu 2.81, 4 Li 2.81

Summary:
space group: No. 216
uncorrected energy: -15.28 eV/f.u.
total magnetization: 0.38 μB per atom



> Number 1 is which compound?

Li2LuFe